VASP calculation (GGA-PBE) on crystalline PrGd2Zn3Pt2Au at its relaxed geometry.

Unit cell a=3.918 b=7.471 c=7.471 alpha=120.41 beta=90.00 gamma=90.00
Fractional coordinates of all 9 atoms:
Au 0.500 0.995 0.995
Gd 0.500 0.591 0.000
Gd 0.500 0.000 0.591
Pr 0.500 0.411 0.411
Pt 0.000 0.674 0.332
Pt 0.000 0.332 0.674
Zn 0.000 0.997 0.256
Zn 0.000 0.745 0.745
Zn 0.000 0.256 0.997

Its space group is No. 38. For the formation enthalpy at 0 K, the calculation gives -0.845 eV/atom. Its volume is 20.96 Å³ per atom. For the total energy, the calculation gives -40.86 eV per cell.